## Ca2VF (PBE+U)

Data for an optimized crystal structure of Ca2VF.

## Properties
Fermi-level density of states = 0.5794 states/eV/atom
Distance to the lowest polymorph of the same formula = 0.000 eV per atom
Magnetization = 8.8 Bohr magnetons per cell
Calculated total energy = -4.089 eV per atom

```
8
Lattice="-3.6101 3.6101 4.0936 3.6101 -3.6101 4.0936 3.6101 3.6101 -4.0936" Properties=species:S:1:pos:R:3 pbc="T T T"
Ca 5.4151 1.0165 -1.0234
Ca 1.0165 1.8050 1.0234
Ca -1.8050 2.5936 3.0702
Ca 2.5936 1.8050 5.1170
V 3.6101 0.0000 2.0468
V 0.0000 0.0000 4.0936
F 0.0000 0.0000 0.0000
F 0.0000 3.6101 2.0468
```

## CaV2F (PBE+U)

Data for an optimized crystal structure of CaV2F.

## Properties
Fermi-level density of states = 0.3207 states/eV/atom
Distance to the lowest polymorph of the same formula = 0.713 eV per atom
Magnetization = 9.3 Bohr magnetons per cell
Calculated total energy = -3.941 eV per atom

```
4
Lattice="0.0000 3.5404 3.5404 3.5404 0.0000 3.5404 3.5404 3.5404 0.0000" Properties=species:S:1:pos:R:3 pbc="T T T"
Ca 0.0000 0.0000 0.0000
V 1.7702 1.7702 1.7702
V 5.3107 5.3107 5.3107
F 3.5404 3.5404 3.5404
```

## CaV2F (PBE+U)

Data for an optimized crystal structure of CaV2F.

## Properties
Fermi-level density of states = 0.5128 states/eV/atom
Distance to the lowest polymorph of the same formula = 0.000 eV per atom
Magnetization = 13.8 Bohr magnetons per cell
Calculated total energy = -4.654 eV per atom

```
8
Lattice="-3.2921 3.2921 4.8244 3.2921 -3.2921 4.8244 3.2921 3.2921 -4.8244" Properties=species:S:1:pos:R:3 pbc="T T T"
Ca 3.2921 1.6461 1.2061
Ca 0.0000 1.6461 3.6183
V 0.0000 0.0000 0.0000
V 1.6461 1.6461 -2.4122
V 1.6461 -1.6461 2.4122
V 0.0000 3.2921 0.0000
F 3.2921 -1.6461 3.6183
F 0.0000 4.9382 1.2061
```

## Ca2VF (PBE+U)

Data for an optimized crystal structure of Ca2VF.

## Properties
Fermi-level density of states = 0.3469 states/eV/atom
Distance to the lowest polymorph of the same formula = 0.606 eV per atom
Magnetization = 5.9 Bohr magnetons per cell
Calculated total energy = -3.483 eV per atom

```
4
Lattice="0.0000 3.6928 3.6928 3.6928 0.0000 3.6928 3.6928 3.6928 0.0000" Properties=species:S:1:pos:R:3 pbc="T T T"
Ca 1.8464 1.8464 1.8464
Ca 5.5392 5.5392 5.5392
V 0.0000 0.0000 0.0000
F 3.6928 3.6928 3.6928
```

## Ca4VF10 (PBE+U)

Data for an optimized crystal structure of Ca4VF10.

## Properties
Fermi-level density of states = 0.1331 states/eV/atom
Magnetization = 3.0 Bohr magnetons per cell
Calculated total energy = -5.883 eV per atom

```
15
Lattice="1.9413 1.1208 15.5439 -1.9413 1.1208 15.5439 0.0000 -2.2416 15.5439" Properties=species:S:1:pos:R:3 pbc="T T T"
Ca 0.0000 0.0000 4.7973
Ca 0.0000 0.0000 13.9468
Ca 0.0000 0.0000 32.6849
Ca 0.0000 0.0000 41.8343
V 0.0000 0.0000 23.3158
F 0.0000 0.0000 2.3984
F 0.0000 0.0000 7.1345
F 0.0000 0.0000 11.5507
F 0.0000 0.0000 16.3391
F 0.0000 0.0000 21.1452
F 0.0000 0.0000 25.4865
F 0.0000 0.0000 30.2925
F 0.0000 0.0000 35.0810
F 0.0000 0.0000 39.4971
F 0.0000 0.0000 44.2332
```

## Ca2VF8 (PBE+U)

Data for an optimized crystal structure of Ca2VF8.

## Properties
Fermi-level density of states = 0.0000 states/eV/atom
Magnetization = 1.0 Bohr magnetons per cell
Calculated total energy = -5.609 eV per atom

```
11
Lattice="5.7279 -1.9313 0.0000 5.7279 1.9313 0.0000 -1.2465 0.0000 6.9261" Properties=species:S:1:pos:R:3 pbc="T T T"
Ca 2.4447 0.0000 1.5104
Ca 7.7646 0.0000 5.4157
V -0.6233 0.0000 3.4631
F 0.0570 0.0000 1.7393
F 1.3132 0.0000 3.8875
F 2.4115 0.0000 6.4549
F 4.5163 0.0000 2.5262
F 5.6929 0.0000 4.3999
F 7.7977 0.0000 0.4712
F 8.8961 0.0000 3.0386
F 10.1522 0.0000 5.1868
```